1.
BaCa2Os | PBEsol | optimized geometry

As for the excess energy over the best structure of this formula in the dataset: 168 meV/atom. The calculation puts the formation energy at 640 meV per atom.

It has space group R-3m (No. 166, hexagonal axes), with a = 3.5174 Å, b = 3.5174 Å, c = 33.6146 Å, α = 90.00°, β = 90.00° and γ = 120.00°. The distinct sites, in fractional coordinates, are Ba at (0.0000, 0.0000, 0.0000), Ca at (0.0000, 0.0000, 0.2260) and Os at (0.0000, 0.0000, 0.5000).

2.
YMnBe2 | PBEsol | optimized geometry

As for the excess energy over the best structure of this formula in the dataset: 316 meV/atom. The calculation puts the formation energy at 457 meV per atom.

It has space group I4_1/amd (No. 141, origin choice 2), with a = 4.038 Å, b = 4.038 Å, c = 15.483 Å, α = 90.00°, β = 90.00° and γ = 90.00°. The distinct sites, in fractional coordinates, are Y at (0.000, 0.250, 0.375), Mn at (0.000, 0.250, 0.875) and Be at (0.000, 0.000, 0.000).

3.
BeCdW2 | PBEsol | optimized geometry

As for the excess energy over the best structure of this formula in the dataset: 58 meV/atom. The calculation puts the formation energy at 511 meV per atom.

It has space group Immm (No. 71), with a = 3.191 Å, b = 4.238 Å, c = 8.816 Å, α = 90.00°, β = 90.00° and γ = 90.00°. The distinct sites, in fractional coordinates, are Be at (0.000, 0.000, 0.000), Cd at (0.000, 0.000, 0.500) and W at (0.000, 0.500, 0.264).

4.
Ta5Re | PBEsol | optimized geometry

As for the excess energy over the best structure of this formula in the dataset: 0 meV/atom. The calculation puts the formation energy at -165 meV per atom.

It has space group C2/m (No. 12), with a = 10.309 Å, b = 3.200 Å, c = 6.522 Å, α = 90.00°, β = 108.81° and γ = 90.00°. The distinct sites, in fractional coordinates, are Ta at (0.000, 0.000, 0.000), Ta at (0.161, 0.500, 0.337), Ta at (0.164, 0.500, 0.826) and Re at (0.000, 0.000, 0.500).

5.
LiZnP2 | PBEsol | optimized geometry

The calculation puts the formation energy at 1 meV per atom.

It has space group I4/mmm (No. 139), with a = 3.830 Å, b = 3.830 Å, c = 7.677 Å, α = 90.00°, β = 90.00° and γ = 90.00°. The distinct sites, in fractional coordinates, are Li at (0.000, 0.000, 0.000), Zn at (0.000, 0.000, 0.500) and P at (0.000, 0.500, 0.250).

6.
MnSi2Ni | PBEsol | optimized geometry

For the uncorrected formation energy, the calculation gives -0.51 eV/atom.

It has space group Cm (No. 8), with a = 8.373 Å, b = 2.774 Å, c = 3.928 Å, α = 90.00°, β = 105.79° and γ = 90.00°. The distinct sites, in fractional coordinates, are Mn at (0.000, 0.000, 0.000), Si at (0.237, 0.500, 0.111), Si at (0.492, 0.000, 0.489) and Ni at (0.233, 0.000, 0.611).

7.
TlCdIO2 | PBEsol | optimized geometry

For the uncorrected formation energy, the calculation gives 0.07 eV/atom.

It has space group P4/mmm (No. 123), with a = 4.208 Å, b = 4.208 Å, c = 6.338 Å, α = 90.00°, β = 90.00° and γ = 90.00°. The distinct sites, in fractional coordinates, are Tl at (0.000, 0.000, 0.000), Cd at (0.500, 0.500, 0.500), I at (0.000, 0.000, 0.500) and O at (0.000, 0.500, 0.000).

8.
AgAsPt2 | PBEsol | optimized geometry

The calculation puts the formation energy at 15 meV per atom.

It has space group P4mm (No. 99), with a = 3.411 Å, b = 3.411 Å, c = 5.577 Å, α = 90.00°, β = 90.00° and γ = 90.00°. The distinct sites, in fractional coordinates, are Ag at (0.000, 0.000, 0.000), As at (0.500, 0.500, 0.315), Pt at (0.000, 0.000, 0.497) and Pt at (0.500, 0.500, 0.764).

Question: Number 2 is which compound?
Answer: YMnBe2